## GaCu2Ir (PBE)

Data for a relaxed structure of GaCu2Ir.

Properties
ρ = 11088 kg/m³
ΔH_f (0 K) = 134 meV/atom
spin magnetization = 0.00 μB/cell
DOS at the Fermi energy = 0.384 states/eV/atom

Cell lengths 3.5696, 3.5696, 18.2893 Å; angles 90.00, 90.00, 90.00 degrees
Closest atoms and distances in Å follow each position.
Space group I-42d (No. 122)
One atom of each set of equivalent atoms:
Ga 0.0000 0.0000 0.0000  4 Ir 2.52, 4 Cu 2.62
Cu 0.2463 0.2500 0.6250  4 Cu 2.51-2.54, 2 Ir 2.61, 2 Ga 2.62
Ir 0.0000 0.0000 0.5000  4 Ga 2.52, 4 Cu 2.61


## Pm3Al2Sn3 (PBE)

Data for a relaxed structure of Pm3Al2Sn3.

Properties
ρ = 6777 kg/m³
ΔH_f (0 K) = -603 meV/atom
spin magnetization = 0.00 μB/cell
DOS at the Fermi energy = 0.720 states/eV/atom

Cell lengths 4.4711, 11.7132, 15.8159 Å; angles 90.00, 90.00, 90.00 degrees
Closest atoms and distances in Å follow each position.
Space group Cmcm (No. 63)
One atom of each set of equivalent atoms:
Pm 0.0000 0.0603 0.1121  6 Sn 3.20-3.36, 3 Al 3.32-3.39
Pm 0.0000 0.3442 0.2500  4 Al 3.19, 5 Sn 3.24-3.44
Al 0.0000 0.2227 0.6153  4 Sn 2.78-3.00
Sn 0.0000 0.3730 0.0384  3 Al 2.78-3.00
Sn 0.0000 0.3791 0.7500  2 Al 2.81


## AgIrSe (PBE)

Data for a relaxed structure of AgIrSe.

Properties
polymorph energy (0 for the lowest one) = 0.036 eV/atom
ρ = 11205 kg/m³
energy relative to the elements, uncorrected = 0.15 eV per atom
spin magnetization = 0.00 μB/cell
DOS at the Fermi energy = 0.204 states/eV/atom

Cell lengths 12.2928, 3.1029, 6.9567 Å; angles 90.00, 122.14, 90.00 degrees
Closest atoms and distances in Å follow each position.
Space group C2/m (No. 12)
One atom of each set of equivalent atoms:
Ag 0.1292 0.0000 0.3425  1 Se 2.79, 4 Ir 2.86-2.94, 4 Ag 3.02-3.10
Ir 0.1016 0.5000 0.9731  3 Se 2.45-2.50, 1 Ir 2.71
Se 0.1590 0.0000 0.7693  3 Ir 2.45-2.50


## Ba4Ga3Hg (PBE)

Data for a relaxed structure of Ba4Ga3Hg.

Properties
ρ = 5386 kg/m³
ΔH_f (0 K) = -355 meV/atom
spin magnetization = 0.00 μB/cell
DOS at the Fermi energy = 0.970 states/eV/atom

Cell lengths 4.4792, 4.8940, 13.4874 Å; angles 90.00, 90.00, 90.00 degrees
Closest atoms and distances in Å follow each position.
Space group Pmm2 (No. 25)
One atom of each set of equivalent atoms:
Ba 0.0000 0.0000 0.0000  6 Ga 3.50-3.51
Ba 0.0000 0.5000 0.2838  7 Ga 3.50-3.90
Ba 0.5000 0.0000 0.4941  4 Ga 3.48, 2 Hg 3.61
Ba 0.5000 0.5000 0.7814  4 Hg 3.48, 2 Ga 3.60
Ga 0.0000 0.5000 0.5727  2 Hg 3.02
Ga 0.5000 0.0000 0.1999  2 Ga 2.91
Ga 0.5000 0.5000 0.0836  2 Ga 2.91
Hg 0.0000 0.0000 0.7036  2 Ga 3.02


## PaGeSe2 (PBE)

Data for a relaxed structure of PaGeSe2.

Properties
ρ = 6675 kg/m³
energy relative to the elements, uncorrected = -0.57 eV per atom
spin magnetization = 4.06 μB/cell
DOS at the Fermi energy = 0.938 states/eV/atom

Cell lengths 3.7983, 3.7983, 27.5731 Å; angles 90.00, 90.00, 120.00 degrees
Closest atoms and distances in Å follow each position.
Space group R-3m (No. 166, hexagonal axes)
One atom of each set of equivalent atoms:
Pa 0.0000 0.0000 0.0000  6 Se 2.86
Ge 0.0000 0.0000 0.5000  2 Se 2.76
Se 0.0000 0.0000 0.4001  1 Ge 2.76, 3 Pa 2.86


## SrY2Pb (PBE)

Data for a relaxed structure of SrY2Pb.

Properties
ρ = 6152 kg/m³
ΔH_f (0 K) = -170 meV/atom
spin magnetization = 0.00 μB/cell
DOS at the Fermi energy = 1.233 states/eV/atom

Cell lengths 5.0495, 5.0495, 5.0032 Å; angles 90.00, 90.00, 90.00 degrees
Closest atoms and distances in Å follow each position.
Space group P4/mmm (No. 123)
One atom of each set of equivalent atoms:
Sr 0.0000 0.0000 0.0000  8 Y 3.55, 4 Pb 3.57
Y 0.0000 0.5000 0.5000  4 Pb 3.55, 4 Sr 3.55, 4 Y 3.57
Pb 0.5000 0.5000 0.0000  8 Y 3.55, 4 Sr 3.57


Repeat the sixth record exactly.
## SrY2Pb (PBE)

Data for a relaxed structure of SrY2Pb.

Properties
ρ = 6152 kg/m³
ΔH_f (0 K) = -170 meV/atom
spin magnetization = 0.00 μB/cell
DOS at the Fermi energy = 1.233 states/eV/atom

Cell lengths 5.0495, 5.0495, 5.0032 Å; angles 90.00, 90.00, 90.00 degrees
Closest atoms and distances in Å follow each position.
Space group P4/mmm (No. 123)
One atom of each set of equivalent atoms:
Sr 0.0000 0.0000 0.0000  8 Y 3.55, 4 Pb 3.57
Y 0.0000 0.5000 0.5000  4 Pb 3.55, 4 Sr 3.55, 4 Y 3.57
Pb 0.5000 0.5000 0.0000  8 Y 3.55, 4 Sr 3.57


Copy entry 3 word for word.
## AgIrSe (PBE)

Data for a relaxed structure of AgIrSe.

Properties
polymorph energy (0 for the lowest one) = 0.036 eV/atom
ρ = 11205 kg/m³
energy relative to the elements, uncorrected = 0.15 eV per atom
spin magnetization = 0.00 μB/cell
DOS at the Fermi energy = 0.204 states/eV/atom

Cell lengths 12.2928, 3.1029, 6.9567 Å; angles 90.00, 122.14, 90.00 degrees
Closest atoms and distances in Å follow each position.
Space group C2/m (No. 12)
One atom of each set of equivalent atoms:
Ag 0.1292 0.0000 0.3425  1 Se 2.79, 4 Ir 2.86-2.94, 4 Ag 3.02-3.10
Ir 0.1016 0.5000 0.9731  3 Se 2.45-2.50, 1 Ir 2.71
Se 0.1590 0.0000 0.7693  3 Ir 2.45-2.50


Among the records above, which one has the lowest ρ? Ba4Ga3Hg